9
Lattice="-2.448 -4.496 -0.920 6.585 -3.522 0.517 -4.981 -0.873 6.377" Properties=species:S:1:pos:R:3 comment="PBE SeS6Br2, relaxed" total_energy_ev_per_cell=-31.202 pbc="T T T"
Br 3.239 -6.195 1.186
S 2.274 -3.453 3.427
S -0.558 -2.496 4.799
S -0.913 -7.016 4.256
Br -4.082 -2.696 4.788
Se 0.000 0.000 0.000
S 0.069 -1.876 1.718
S -3.117 -5.439 2.547
S -0.285 -6.396 1.175

=====

20
Lattice="6.037 0.000 0.000 0.000 5.891 0.000 0.000 5.852 8.408" Properties=species:S:1:pos:R:3 comment="PBE Sr2SmNbO6, relaxed" total_energy_ev_per_cell=-156.039 pbc="T T T"
Sm 3.018 2.926 4.204
O 4.375 6.972 4.650
Sm 0.000 0.000 0.000
O 4.681 4.046 0.447
O 2.818 2.391 1.947
O 1.662 4.771 3.757
Sr 5.771 8.738 6.293
O 1.868 4.570 0.387
O 3.218 9.352 6.460
Sr 2.753 5.931 6.318
O 4.169 7.173 8.021
O 0.200 5.317 6.151
Nb 0.000 5.872 4.204
O 1.151 7.496 4.591
Sr 3.284 5.812 2.090
Sr 0.266 3.005 2.114
Nb 3.018 2.946 0.000
O 1.356 7.697 7.961
O 4.886 4.247 3.817
O 5.837 6.427 2.257

=====

7
Lattice="-0.048 -2.383 -5.143 5.268 -1.918 0.839 -5.470 -4.374 5.201" Properties=species:S:1:pos:R:3 comment="PBE YTm2In4, relaxed" total_energy_ev_per_cell=-24.640 formation_enthalpy_0k_ev_per_atom=0.246 pbc="T T T"
In 2.634 -0.959 0.420
Tm -2.279 -5.197 2.429
In -1.132 -2.581 1.206
Tm 2.028 -3.477 -1.532
In -0.024 -1.191 -2.572
Y 0.000 0.000 0.000
In 0.881 -6.093 -0.309